Entry 1:
HgBiPt | PBE | relaxed

Cell lengths 3.877, 5.660, 8.955 Å; angles 71.59, 90.00, 90.00 degrees
Element x y z (fractional)
Bi1 0.503 0.501 0.290
Bi2 0.003 0.911 0.471
Pt1 0.503 0.026 0.242
Pt2 0.003 0.387 0.519
Hg1 0.503 0.270 0.752
Hg2 0.003 0.141 0.009

Computed properties:
- space group = Cmcm (63)
- energy above the most stable polymorph in this dataset (eV per formula unit) = 0.15
- E_tot (eV per cell) = -20.94
- density of states at the Fermi level (states/eV/atom) = 0.382
- energy of formation (kcal/mol of atoms) = -1.885

Entry 2:
HgBiPt3 | PBE | relaxed

Cell lengths 5.105, 5.105, 5.105 Å; angles 90.00, 90.00, 90.00 degrees
Element x y z (fractional)
Bi1 0.000 0.000 0.000
Hg1 0.500 0.500 0.500
Pt1 0.500 0.000 0.000
Pt2 0.000 0.000 0.500
Pt3 0.000 0.500 0.000

Computed properties:
- space group = Pm-3m (221)
- energy above the most stable polymorph in this dataset (eV per formula unit) = 0.04
- E_tot (eV per cell) = -17.15
- density of states at the Fermi level (states/eV/atom) = 1.229
- energy of formation (kcal/mol of atoms) = 23.783

Entry 3:
HgBi2Pt2 | PBE | relaxed

Cell lengths 4.197, 5.668, 10.314 Å; angles 84.22, 90.00, 90.00 degrees
Element x y z (fractional)
Bi1 0.750 0.253 0.457
Bi2 0.750 0.100 0.127
Bi3 0.250 0.747 0.543
Bi4 0.250 0.900 0.873
Hg1 0.750 0.386 0.793
Hg2 0.250 0.614 0.207
Pt1 0.750 0.757 0.367
Pt2 0.250 0.327 0.992
Pt3 0.750 0.673 0.008
Pt4 0.250 0.243 0.633

Computed properties:
- space group = P2_1/m (11)
- energy above the most stable polymorph in this dataset (eV per formula unit) = 0.00
- E_tot (eV per cell) = -42.01
- density of states at the Fermi level (states/eV/atom) = 0.375
- energy of formation (kcal/mol of atoms) = -3.967

Entry 4:
HgBi2Pt2 | PBE | relaxed

Cell lengths 8.372, 8.372, 3.370 Å; angles 90.00, 90.00, 90.00 degrees
Element x y z (fractional)
Pt1 0.376 0.124 0.500
Pt2 0.624 0.876 0.500
Pt3 0.876 0.376 0.500
Pt4 0.124 0.624 0.500
Bi1 0.164 0.336 0.000
Bi2 0.664 0.164 0.000
Bi3 0.836 0.664 0.000
Bi4 0.336 0.836 0.000
Hg1 0.500 0.500 0.000
Hg2 0.000 0.000 0.000

Computed properties:
- space group = P4/mbm (127)
- energy above the most stable polymorph in this dataset (eV per formula unit) = 1.06
- E_tot (eV per cell) = -39.89
- density of states at the Fermi level (states/eV/atom) = 0.358
- energy of formation (kcal/mol of atoms) = 0.932